1.
Dy2Si after structural relaxation. Source: Alexandria via LeMat-Bulk, functional GGA-PBE.

Lattice parameters (Å, degrees): 3.8344 3.8344 9.6448 90.00 90.00 90.00
With the nearest neighbours (Å) after each atom.
Space group I4/mmm (No. 139)
Symmetry-distinct sites (fractional):
Dy  0.0000  0.0000  0.1501 x4  1 Dy 2.89, 4 Si 3.07
Si  0.0000  0.0000  0.5000 x2  10 Dy 3.07-3.38

## Properties
Formation energy (no corrections) = -0.303 eV per atom
Total DFT energy (no corrections) = -0.3806 Ry per atom


2.
TbAl2Ni after structural relaxation. Source: Alexandria via LeMat-Bulk, functional GGA-PBE.

Lattice parameters (Å, degrees): 4.1057 4.1057 15.5515 90.00 90.00 120.00
With the nearest neighbours (Å) after each atom.
Space group R-3m (No. 166, hexagonal axes)
Symmetry-distinct sites (fractional):
Tb  0.0000  0.0000  0.0000 x3  8 Al 3.08-3.22
Al  0.0000  0.0000  0.2071 x6  3 Ni 2.45, 3 Al 2.68
Ni  0.0000  0.0000  0.5000 x3  6 Al 2.45

## Properties
Total DFT energy (no corrections) = -0.3660 Ry per atom
ΔE_f = -0.51 eV per atom


3.
La2AlGa6Cu after structural relaxation. Source: Alexandria via LeMat-Bulk, functional GGA-PBE.

Lattice parameters (Å, degrees): 6.4525 6.4525 35.2936 90.00 90.00 120.00
With the nearest neighbours (Å) after each atom.
Space group R-3m (No. 166, hexagonal axes)
Symmetry-distinct sites (fractional):
La  0.0000  0.0000  0.1220 x6  12 Ga 3.25-3.47
La  0.0000  0.0000  0.2995 x6  12 Ga 3.26-3.44
Al  0.0000  0.0000  0.0000 x3  6 Ga 2.64
Al  0.0000  0.0000  0.5000 x3  2 Cu 2.40
Ga  0.0389  0.5194  0.2872 x18  1 Cu 2.48, 1 Al 2.64
Ga  0.0705  0.5352  0.8779 x18  1 Cu 2.40, 2 Ga 2.54
Cu  0.0000  0.0000  0.4321 x6  1 Al 2.40, 6 Ga 2.40-2.48

## Properties
Total DFT energy (no corrections) = -0.2894 Ry per atom
ΔE_f = -0.35 eV per atom


4.
SmScGaPb after structural relaxation. Source: Alexandria via LeMat-Bulk, functional GGA-PBE.

Lattice parameters (Å, degrees): 7.3515 7.3515 7.3515 90.00 90.00 90.00
With the nearest neighbours (Å) after each atom.
Space group F-43m (No. 216)
Symmetry-distinct sites (fractional):
Sm  0.0000  0.0000  0.0000 x4  4 Pb 3.18, 4 Ga 3.18
Sc  0.0000  0.0000  0.5000 x4  4 Ga 3.18, 4 Pb 3.18
Ga  0.2500  0.2500  0.7500 x4  4 Sc 3.18, 4 Sm 3.18
Pb  0.2500  0.2500  0.2500 x4  4 Sc 3.18, 4 Sm 3.18

## Properties
Total DFT energy (no corrections) = -0.3553 Ry per atom
ΔE_f = -0.39 eV per atom


5.
TaTi3I after structural relaxation. Source: Alexandria via LeMat-Bulk, functional GGA-PBE.

Lattice parameters (Å, degrees): 4.9452 4.9452 4.9452 90.00 90.00 90.00
With the nearest neighbours (Å) after each atom.
Space group Pm-3m (No. 221)
Symmetry-distinct sites (fractional):
Ta  0.0000  0.0000  0.0000 x1  6 Ti 2.47
Ti  0.0000  0.0000  0.5000 x3  2 Ta 2.47
I  0.5000  0.5000  0.5000 x1  12 Ti 3.50

## Properties
Formation energy (no corrections) = 1.055 eV per atom
Total DFT energy (no corrections) = -0.4676 Ry per atom


6.
VCr2Si after structural relaxation. Source: Alexandria via LeMat-Bulk, functional GGA-PBE.

Lattice parameters (Å, degrees): 6.4268 6.4268 5.1056 90.00 90.00 90.00
With the nearest neighbours (Å) after each atom.
Space group I-42d (No. 122)
Symmetry-distinct sites (fractional):
V  0.0000  0.0000  0.0000 x4  4 Cr 2.35, 2 Si 2.55
Cr  0.2473  0.7500  0.1250 x8  2 V 2.35, 2 Si 2.37, 2 Cr 2.55
Si  0.0000  0.0000  0.5000 x4  4 Cr 2.37, 2 V 2.55

## Properties
Formation energy (no corrections) = 0.513 eV per atom
Total DFT energy (no corrections) = -0.5831 Ry per atom


7.
Li2Tm5Cu12 after structural relaxation. Source: Alexandria via LeMat-Bulk, functional GGA-PBE.

Lattice parameters (Å, degrees): 14.5854 6.6211 6.6003 90.00 92.34 90.00
With the nearest neighbours (Å) after each atom.
Space group C2/m (No. 12)
Symmetry-distinct sites (fractional):
Li  0.0000  0.2210  0.0000 x4  8 Cu 2.59-2.77
Tm  0.0000  0.5000  0.5000 x2  8 Cu 2.75-2.87
Tm  0.1995  0.0000  0.0465 x4  7 Cu 2.79-2.94
Tm  0.2438  0.5000  0.4361 x4  10 Cu 2.83-3.07
Cu  0.0526  0.0000  0.6674 x4  7 Cu 2.48-2.64, 2 Li 2.77
Cu  0.1025  0.1905  0.3488 x8  4 Cu 2.52-2.65, 1 Li 2.70, 2 Tm 2.75-2.79
Cu  0.1178  0.5000  0.0983 x4  2 Li 2.59, 4 Cu 2.62-2.65, 2 Tm 2.83-2.87
Cu  0.1398  0.3123  0.7543 x8  3 Cu 2.48-2.62, 1 Li 2.72

## Properties
Total DFT energy (no corrections) = -0.3031 Ry per atom
ΔE_f = -0.16 eV per atom


8.
TcP2ClF after structural relaxation. Source: Alexandria via LeMat-Bulk, functional GGA-PBE.

Lattice parameters (Å, degrees): 4.5370 4.5370 4.8284 90.00 90.00 90.00
With the nearest neighbours (Å) after each atom.
Space group P4/mmm (No. 123)
Symmetry-distinct sites (fractional):
Tc  0.0000  0.0000  0.0000 x1  4 P 2.27, 2 Cl 2.41
P  0.0000  0.5000  0.0000 x2  2 Tc 2.27
Cl  0.0000  0.0000  0.5000 x1  2 Tc 2.41
F  0.5000  0.5000  0.5000 x1  4 Cl 3.21, 8 P 3.31

## Properties
Formation energy (no corrections) = 0.093 eV per atom
Total DFT energy (no corrections) = -0.3592 Ry per atom


9.
LiTaMo after structural relaxation. Source: Alexandria via LeMat-Bulk, functional GGA-PBE.

Lattice parameters (Å, degrees): 3.1792 4.3649 14.5562 90.00 90.00 90.00
With the nearest neighbours (Å) after each atom.
Space group Fmm2 (No. 42)
Symmetry-distinct sites (fractional):
Li  0.0000  0.0000  0.0000 x4  4 Li 2.70, 2 Mo 2.86
Ta  0.0000  0.0000  0.3228 x4  4 Ta 2.70, 2 Mo 2.81
Mo  0.0000  0.0000  0.6637 x4  4 Mo 2.70, 2 Ta 2.81, 2 Li 2.86

## Properties
Total DFT energy (no corrections) = -0.5825 Ry per atom
ΔE_f = 0.27 eV per atom


10.
NaPmSn4 after structural relaxation. Source: Alexandria via LeMat-Bulk, functional GGA-PBE.

Lattice parameters (Å, degrees): 4.7281 22.9658 6.5138 90.00 90.00 90.00
With the nearest neighbours (Å) after each atom.
Space group Cmcm (No. 63)
Symmetry-distinct sites (fractional):
Na  0.0000  0.2282  0.2500 x4  7 Sn 3.29-3.46
Pm  0.0000  0.0634  0.7500 x4  11 Sn 3.22-3.42
Sn  0.0000  0.0832  0.2500 x4  8 Sn 3.24-3.45, 3 Pm 3.29-3.37, 1 Na 3.33
Sn  0.0000  0.3539  0.0066 x8  5 Sn 3.17-3.36, 3 Na 3.29-3.46, 2 Pm 3.42
Sn  0.0000  0.5000  0.0000 x4  4 Pm 3.22, 8 Sn 3.26-3.45

## Properties
Total DFT energy (no corrections) = -0.2966 Ry per atom
ΔE_f = -0.36 eV per atom